1.
! GGA-PBE BaNaNdSe3, optimized geometry; values from VASP
&SYSTEM
  ibrav = 0, nat = 24, ntyp = 4
/
ATOMIC_SPECIES
Se 78.96 Se.upf
Na 22.99 Na.upf
Ba 137.33 Ba.upf
Nd 144.24 Nd.upf
CELL_PARAMETERS angstrom
-0.595 10.431 -3.856
0.453 -1.522 -4.187
-14.318 -1.225 -1.105
ATOMIC_POSITIONS crystal
Se 0.556 0.750 0.886
Se 0.048 0.250 0.115
Se 0.452 0.750 0.615
Se 0.944 0.250 0.386
Se 0.548 0.250 0.385
Se 0.753 0.250 0.668
Se 0.747 0.750 0.168
Se 0.444 0.250 0.114
Se 0.247 0.750 0.332
Se 0.056 0.750 0.614
Se 0.952 0.750 0.885
Se 0.253 0.250 0.832
Na 0.254 0.750 0.726
Na 0.754 0.750 0.774
Na 0.246 0.250 0.226
Na 0.746 0.250 0.274
Ba 0.246 0.750 0.998
Ba 0.754 0.250 0.002
Ba 0.746 0.750 0.502
Ba 0.254 0.250 0.498
Nd 0.497 0.750 0.249
Nd 0.997 0.750 0.251
Nd 0.503 0.250 0.751
Nd 0.003 0.250 0.749
! raw total energy = -4.758 eV/atom
! total moment = 0.0 μB per formula unit

2.
! GGA-PBE BaNaNdTe3, optimized geometry; values from VASP
&SYSTEM
  ibrav = 0, nat = 24, ntyp = 4
/
ATOMIC_SPECIES
Na 22.99 Na.upf
Te 127.60 Te.upf
Nd 144.24 Nd.upf
Ba 137.33 Ba.upf
CELL_PARAMETERS angstrom
-2.142 -9.603 6.590
3.649 1.111 2.805
-9.331 8.185 8.894
ATOMIC_POSITIONS crystal
Na 0.747 0.750 0.775
Na 0.247 0.750 0.725
Na 0.253 0.250 0.225
Na 0.753 0.250 0.275
Te 0.554 0.250 0.391
Te 0.946 0.750 0.891
Te 0.253 0.750 0.336
Te 0.753 0.750 0.164
Te 0.747 0.250 0.664
Te 0.247 0.250 0.836
Te 0.546 0.750 0.889
Te 0.046 0.750 0.611
Te 0.446 0.750 0.609
Te 0.054 0.250 0.109
Te 0.954 0.250 0.389
Te 0.454 0.250 0.111
Nd 0.004 0.750 0.249
Nd 0.504 0.750 0.251
Nd 0.496 0.250 0.749
Nd 0.996 0.250 0.751
Ba 0.246 0.250 0.503
Ba 0.254 0.750 0.003
Ba 0.746 0.250 0.997
Ba 0.754 0.750 0.497
! raw total energy = -4.287 eV/atom
! total moment = 0.0 μB per formula unit

3.
! GGA-PBE BaNaNdTe3, optimized geometry; values from VASP
&SYSTEM
  ibrav = 0, nat = 12, ntyp = 4
/
ATOMIC_SPECIES
Na 22.99 Na.upf
Te 127.60 Te.upf
Ba 137.33 Ba.upf
Nd 144.24 Nd.upf
CELL_PARAMETERS angstrom
2.362 -7.642 0.000
2.362 7.642 0.000
0.000 0.000 11.819
ATOMIC_POSITIONS crystal
Na 0.026 0.974 0.250
Na 0.974 0.026 0.750
Te 0.415 0.585 0.250
Te 0.860 0.140 0.549
Te 0.860 0.140 0.951
Te 0.585 0.415 0.750
Te 0.140 0.860 0.049
Te 0.140 0.860 0.451
Ba 0.252 0.748 0.750
Ba 0.748 0.252 0.250
Nd 0.500 0.500 0.500
Nd 0.500 0.500 0.000
! raw total energy = -4.287 eV/atom
! total moment = 0.0 μB per formula unit

Look up the raw total energy of the third one.
-4.287 eV/atom